The following is a DFT calculation (PBE) of an optimized crystal structure of Ga2TeI8.

Summary:
VASP energy = -25.5 eV per cell
density = 3.54 g/cm3
energy relative to the lowest polymorph listed for this composition = 0.0 meV per atom
ΔE_f (raw) = -379 kJ/mol of formula units
total magnetic moment = 0.00 μB per formula unit

Cell lengths 8.4164, 8.6002, 8.4164 Å; angles 91.70, 98.53, 88.30 degrees
Closest atoms and distances in Å follow each position.
Positions (direct):
I (0.7291, 0.2271, 0.9012)  1 Ga 2.69, 1 Te 3.00
I (0.2709, 0.7729, 0.0988)  1 Ga 2.69, 1 Te 3.00
I (0.3734, 0.8553, 0.6266)  1 Ga 2.53
I (0.2428, 0.3962, 0.7572)  1 Ga 2.53
I (0.6266, 0.1447, 0.3734)  1 Ga 2.53
I (0.7572, 0.6038, 0.2428)  1 Ga 2.53
I (0.9012, 0.7729, 0.7291)  1 Ga 2.69, 1 Te 3.00
I (0.0988, 0.2271, 0.2709)  1 Ga 2.69, 1 Te 3.00
Ga (0.7859, 0.3116, 0.2141)  4 I 2.53-2.69
Ga (0.2141, 0.6884, 0.7859)  4 I 2.53-2.69
Te (0.0000, 0.0000, 0.0000)  4 I 3.00

The following is a DFT calculation (PBE) of an optimized crystal structure of Cs2Te3Se8.

Summary:
Fermi-level density of states = 4.49 states/eV per cell
VASP energy = -42.2 eV per cell
density = 4.47 g/cm3
ΔE_f (raw) = -311 kJ/mol of formula units
total magnetic moment = 0.00 μB per formula unit

Cell lengths 8.7724, 7.7341, 7.7338 Å; angles 65.90, 95.72, 95.72 degrees
Closest atoms and distances in Å follow each position.
Positions (direct):
Te (0.5000, 0.0000, 0.0000)  4 Se 2.90
Te (0.0000, 0.7722, 0.2278)  4 Se 2.69-2.81
Te (0.0000, 0.2278, 0.7722)  4 Se 2.69-2.81
Se (0.8115, 0.3566, 0.3566)  2 Se 2.58
Se (0.0402, 0.8598, 0.8598)  2 Te 2.69-2.70
Se (0.9598, 0.1402, 0.1402)  2 Te 2.69-2.70
Se (0.6838, 0.6759, 0.2026)  1 Se 2.58, 1 Te 2.81
Se (0.6837, 0.2025, 0.6760)  1 Se 2.58, 1 Te 2.81
Se (0.3162, 0.3241, 0.7974)  1 Se 2.58, 1 Te 2.81
Se (0.1885, 0.6434, 0.6434)  2 Se 2.58
Se (0.3163, 0.7975, 0.3240)  1 Se 2.58, 1 Te 2.81
Cs (0.3460, 0.3049, 0.3049)  8 Se 3.78-4.06
Cs (0.6540, 0.6951, 0.6951)  8 Se 3.78-4.06

The following is a DFT calculation (PBE) of an optimized crystal structure of SiAg2Mo.

Summary:
Fermi-level density of states = 3.41 states/eV per cell
VASP energy = -20.3 eV per cell
density = 8.78 g/cm3
ΔE_f (raw) = 162 kJ/mol of formula units
total magnetic moment = 0.97 μB per formula unit

Cell lengths 4.4950, 4.4950, 4.4950 Å; angles 119.97, 119.97, 90.04 degrees
Closest atoms and distances in Å follow each position.
Positions (direct):
Ag (0.2500, 0.7500, 0.5000)  4 Mo 2.75, 4 Ag 2.75
Ag (0.0000, 0.0000, 0.0000)  4 Ag 2.75, 4 Si 2.75
Si (0.7500, 0.2500, 0.5000)  4 Mo 2.75, 4 Ag 2.75
Mo (0.5000, 0.5000, 0.0000)  4 Si 2.75, 4 Ag 2.75